Material: KRb3Pb
Method: DFT, PBE
State: optimized geometry

Cell lengths 7.3156, 7.3156, 7.3156 Å; angles 90.00, 90.00, 90.00 degrees
Positions (direct):
K 0.0000 0.0000 0.0000
Rb 0.0000 0.5000 0.5000
Rb 0.5000 0.0000 0.5000
Rb 0.5000 0.5000 0.0000
Pb 0.5000 0.5000 0.5000

Computed properties:
**Offset from the most stable computed form**: 9.4 kJ per mole of atoms
**Space-group type**: No. 221
**E_tot**: -1.47 eV/atom
**Calculated formation energy**: 0.076 eV per atom
**Total moment**: 1.24 μB per formula unit